## PaVCr2O8 (PBE+U)

Data for PaVCr2O8 after structural relaxation.

Unit cell a=5.7741 b=5.7741 c=5.7741 alpha=108.67 beta=108.67 gamma=111.10
Closest atoms and distances in Å follow each position.
Fractional positions:
O 0.4952 0.6883 0.8070  1 Cr 1.79
Cr 0.5000 0.5000 0.0000  4 O 1.79
O 0.3499 0.0259 0.3240  1 Cr 1.88
V 0.2500 0.7500 0.5000  8 O 2.11-2.16
O 0.8813 0.6883 0.1930  1 Cr 1.79
O 0.7019 0.0259 0.6760  1 Cr 1.88
Cr 0.7500 0.2500 0.5000  4 O 1.88
O 0.9741 0.2981 0.3240  1 Cr 1.88
Pa 0.0000 0.0000 0.0000  8 O 2.19-2.42
O 0.3117 0.1187 0.8070  1 Cr 1.79
O 0.3117 0.5048 0.1930  1 Cr 1.79
O 0.9741 0.6501 0.6760  1 Cr 1.88

Volume   12.34 Å³/atom
Crystal system   tetragonal
Final energy   -8.049 eV/atom